# CdAgSb2Te | Alexandria | GGA-PBE | relaxed
data_CdAgSb2Te
_chemical_formula_sum 'Cd1 Ag1 Sb2 Te1'
_symmetry_space_group_name_H-M 'P 1'
_symmetry_Int_Tables_number 1
_cell_length_a 5.3848
_cell_length_b 5.3848
_cell_length_c 5.5153
_cell_angle_alpha 90.00
_cell_angle_beta 90.00
_cell_angle_gamma 90.00
loop_
_symmetry_equiv_pos_as_xyz
'x,y,z'
loop_
_atom_site_label
_atom_site_type_symbol
_atom_site_fract_x
_atom_site_fract_y
_atom_site_fract_z
Cd1 Cd 0.5000 0.5000 0.5000
Te1 Te 0.0000 0.0000 0.5000
Sb1 Sb 0.5000 0.0000 0.0000
Sb2 Sb 0.0000 0.5000 0.0000
Ag1 Ag 0.0000 0.0000 0.0000
# ρ in Mg/m³: 6.1
# Space group: P4/mmm
# Formation energy (no corrections) in eV per formula unit: 2.98

# PPdN2 | Alexandria | GGA-PBE | relaxed
data_PPdN2
_chemical_formula_sum 'P1 Pd1 N2'
_symmetry_space_group_name_H-M 'P 1'
_symmetry_Int_Tables_number 1
_cell_length_a 3.2814
_cell_length_b 3.2803
_cell_length_c 9.3608
_cell_angle_alpha 86.44
_cell_angle_beta 84.70
_cell_angle_gamma 69.46
loop_
_symmetry_equiv_pos_as_xyz
'x,y,z'
loop_
_atom_site_label
_atom_site_type_symbol
_atom_site_fract_x
_atom_site_fract_y
_atom_site_fract_z
N1 N 0.5740 0.1797 0.1095
P1 P 0.0893 0.7031 0.5895
N2 N 0.5777 0.1584 0.2286
Pd1 Pd 0.6887 0.3188 0.7104
# ρ in Mg/m³: 2.9
# Space group: P1
# Formation energy (no corrections) in eV per formula unit: 0.57

# SeS2I | Alexandria | GGA-PBE | relaxed
data_SeS2I
_chemical_formula_sum 'Se2 S4 I2'
_symmetry_space_group_name_H-M 'P 1'
_symmetry_Int_Tables_number 1
_cell_length_a 7.3055
_cell_length_b 7.3055
_cell_length_c 6.4917
_cell_angle_alpha 55.76
_cell_angle_beta 55.76
_cell_angle_gamma 90.00
loop_
_symmetry_equiv_pos_as_xyz
'x,y,z'
loop_
_atom_site_label
_atom_site_type_symbol
_atom_site_fract_x
_atom_site_fract_y
_atom_site_fract_z
S1 S 0.3750 0.4316 0.7500
Se1 Se 0.5000 0.5000 0.0000
I1 I 0.0000 0.0000 0.0000
Se2 Se 0.2500 0.7500 0.5000
S2 S 0.1816 0.6250 0.2500
I2 I 0.7500 0.2500 0.5000
S3 S 0.8750 0.8184 0.7500
S4 S 0.5684 0.1250 0.2500
# ρ in Mg/m³: 4.3
# Space group: I-42d
# Formation energy (no corrections) in eV per formula unit: 2.26

# Ca2Mg2Zn | Alexandria | GGA-PBE | relaxed
data_Ca2Mg2Zn
_chemical_formula_sum 'Ca4 Mg4 Zn2'
_symmetry_space_group_name_H-M 'P 1'
_symmetry_Int_Tables_number 1
_cell_length_a 5.8854
_cell_length_b 5.8854
_cell_length_c 10.9732
_cell_angle_alpha 90.00
_cell_angle_beta 90.00
_cell_angle_gamma 133.90
loop_
_symmetry_equiv_pos_as_xyz
'x,y,z'
loop_
_atom_site_label
_atom_site_type_symbol
_atom_site_fract_x
_atom_site_fract_y
_atom_site_fract_z
Ca1 Ca 0.6986 0.3014 0.1615
Mg1 Mg 0.3195 0.6805 0.9730
Ca2 Ca 0.5965 0.4035 0.8287
Zn1 Zn 0.8932 0.1068 0.8312
Mg2 Mg 0.6805 0.3195 0.4730
Zn2 Zn 0.1068 0.8932 0.3312
Mg3 Mg 0.0028 0.9972 0.0715
Ca3 Ca 0.3014 0.6986 0.6615
Mg4 Mg 0.9972 0.0028 0.5714
Ca4 Ca 0.4035 0.5965 0.3287
# ρ in Mg/m³: 2.4
# Space group: Cmc2_1
# Energy of formation from the pure elements in eV per atom: -0.129

# SrCe2TiN4 | Alexandria | GGA-PBE | relaxed
data_SrCe2TiN4
_chemical_formula_sum 'Sr2 Ce4 Ti2 N8'
_symmetry_space_group_name_H-M 'P 1'
_symmetry_Int_Tables_number 1
_cell_length_a 3.5441
_cell_length_b 6.3258
_cell_length_c 12.3022
_cell_angle_alpha 90.00
_cell_angle_beta 90.00
_cell_angle_gamma 106.27
loop_
_symmetry_equiv_pos_as_xyz
'x,y,z'
loop_
_atom_site_label
_atom_site_type_symbol
_atom_site_fract_x
_atom_site_fract_y
_atom_site_fract_z
N1 N 0.5873 0.1746 0.2500
N2 N 0.2591 0.5182 0.3763
Sr1 Sr 0.8992 0.7984 0.2500
Ce1 Ce 0.3693 0.7387 0.9594
N3 N 0.4127 0.8254 0.7500
Ce2 Ce 0.3693 0.7387 0.5406
Ti1 Ti 0.1689 0.3377 0.2500
N4 N 0.0000 0.0000 0.0000
N5 N 0.7409 0.4818 0.6237
N6 N 0.7409 0.4818 0.8763
Ce3 Ce 0.6307 0.2613 0.0406
Ti2 Ti 0.8311 0.6623 0.7500
N7 N 0.0000 0.0000 0.5000
Sr2 Sr 0.1008 0.2016 0.7500
Ce4 Ce 0.6307 0.2613 0.4594
N8 N 0.2591 0.5182 0.1237
# ρ in Mg/m³: 5.9
# Space group: Cmcm
# Formation energy (no corrections) in eV per formula unit: -10.40

# Sc3AgHg5 | Alexandria | GGA-PBE | relaxed
data_Sc3AgHg5
_chemical_formula_sum 'Sc6 Ag2 Hg10'
_symmetry_space_group_name_H-M 'P 1'
_symmetry_Int_Tables_number 1
_cell_length_a 6.0129
_cell_length_b 8.5907
_cell_length_c 8.5908
_cell_angle_alpha 120.00
_cell_angle_beta 90.00
_cell_angle_gamma 90.00
loop_
_symmetry_equiv_pos_as_xyz
'x,y,z'
loop_
_atom_site_label
_atom_site_type_symbol
_atom_site_fract_x
_atom_site_fract_y
_atom_site_fract_z
Sc1 Sc 0.2500 0.0000 0.3449
Hg1 Hg 0.2500 0.6833 0.0000
Sc2 Sc 0.7500 0.3449 0.3449
Hg2 Hg 0.5000 0.6667 0.3333
Sc3 Sc 0.7500 0.0000 0.6551
Hg3 Hg 0.2500 0.0000 0.6833
Sc4 Sc 0.2500 0.6551 0.6551
Sc5 Sc 0.2500 0.3449 0.0000
Ag1 Ag 0.5000 0.0000 0.0000
Hg4 Hg 0.0000 0.6667 0.3333
Sc6 Sc 0.7500 0.6551 0.0000
Ag2 Ag 0.0000 0.0000 0.0000
Hg5 Hg 0.7500 0.0000 0.3167
Hg6 Hg 0.7500 0.6833 0.6833
Hg7 Hg 0.2500 0.3167 0.3167
Hg8 Hg 0.5000 0.3333 0.6667
Hg9 Hg 0.7500 0.3167 0.0000
Hg10 Hg 0.0000 0.3333 0.6667
# ρ in Mg/m³: 10.8
# Space group: P6_3/mcm
# Energy of formation from the pure elements in eV per atom: -0.287